NdDyCuS3 GGA-PBE relaxed; E_tot = -5.82 eV/atom; ρ = 6.27 g/cm3; volume = 20.59 A^3/atom
1.0
3.811 0.000 0.000
0.000 10.144 0.000
-1.865 0.000 6.391
Cu Dy Nd S
2 2 2 6
direct
0.516 0.750 0.045
0.484 0.250 0.955
0.000 0.000 0.000
0.000 0.500 0.000
0.233 0.750 0.474
0.767 0.250 0.526
0.090 0.250 0.175
0.640 0.575 0.284
0.640 0.925 0.284
0.360 0.075 0.716
0.360 0.425 0.716
0.910 0.750 0.825